Material: Nb3SnH
Method: DFT, PBE-GGA
State: optimized geometry

Cell lengths 5.9924, 5.9923, 5.0053 Å; angles 90.01, 89.99, 120.00 degrees
Fractional positions:
Nb 0.8771 0.3611 0.0171
Nb 0.3641 0.3611 0.0169
Nb 0.0394 0.6858 0.5171
Nb 0.5265 0.6858 0.5170
Nb 0.3641 0.8482 0.0171
Nb 0.0395 0.1988 0.5170
H 0.2018 0.5235 0.2670
H 0.2018 0.5234 0.7670
Sn 0.5352 0.1900 0.5171
Sn 0.8685 0.8568 0.0171

Results
**Crystal system**: hexagonal
**Symmetry**: P6_3/mmc, No. 194



Material: Nb3SnH
Method: DFT, PBE-GGA
State: optimized geometry

Cell lengths 5.8316, 5.8316, 5.7138 Å; angles 90.00, 90.00, 122.73 degrees
Fractional positions:
H 0.8707 0.1293 0.7500
H 0.1293 0.8707 0.2500
Nb 0.5141 0.9912 0.2500
Nb 0.4859 0.0088 0.7500
Nb 0.9912 0.5141 0.7500
Nb 0.0000 0.0000 0.0000
Nb 0.0000 0.0000 0.5000
Nb 0.0088 0.4859 0.2500
Sn 0.4860 0.5140 0.7500
Sn 0.5140 0.4860 0.2500

Results
**Crystal system**: orthorhombic
**Symmetry**: Cmcm, No. 63



Material: NbSn2H
Method: DFT, PBE-GGA
State: optimized geometry

Cell lengths 4.7837, 4.7837, 4.7837 Å; angles 60.00, 60.00, 60.00 degrees
Last column: magnetic moment on the atom in μB.
Fractional positions:
Sn 0.2500 0.2500 0.2500  -0.01
Sn 0.7500 0.7500 0.7500  -0.01
Nb 0.5000 0.5000 0.5000  0.28
H 0.0000 0.0000 0.0000  -0.01

Results
**Crystal system**: cubic
**Symmetry**: Fm-3m, No. 225



Material: NbSnH2
Method: DFT, PBE-GGA
State: optimized geometry

Cell lengths 4.0777, 4.0777, 4.0777 Å; angles 60.00, 60.00, 60.00 degrees
Fractional positions:
H 0.7500 0.7500 0.7500
H 0.2500 0.2500 0.2500
Nb 0.0000 0.0000 0.0000
Sn 0.5000 0.5000 0.5000

Results
**Crystal system**: cubic
**Symmetry**: Fm-3m, No. 225



Material: NbSnH3
Method: DFT, PBE-GGA
State: optimized geometry

Cell lengths 3.7534, 3.7534, 3.7534 Å; angles 90.00, 90.00, 90.00 degrees
Fractional positions:
H 0.0000 0.0000 0.5000
H 0.0000 0.5000 0.0000
H 0.5000 0.0000 0.0000
Sn 0.5000 0.5000 0.5000
Nb 0.0000 0.0000 0.0000

Results
**Crystal system**: cubic
**Symmetry**: Pm-3m, No. 221



Material: Nb3SnH
Method: DFT, PBE-GGA
State: optimized geometry

Cell lengths 5.9105, 5.9034, 5.5486 Å; angles 81.82, 122.18, 105.50 degrees
Fractional positions:
Sn 0.0132 0.7690 0.0462
Sn 0.5178 0.2779 0.0462
Nb 0.0069 0.2734 0.0294
Nb 0.0043 0.0235 0.5238
Nb 0.5310 0.0234 0.5772
Nb 0.0277 0.5234 0.5705
Nb 0.5032 0.5234 0.5218
Nb 0.5071 0.7735 0.0294
H 0.6442 0.8335 0.4220
H 0.2626 0.2133 0.4219

Results
**Crystal system**: monoclinic
**Symmetry**: C2, No. 5



Material: Nb2SnH
Method: DFT, PBE-GGA
State: optimized geometry

Cell lengths 3.2960, 3.2960, 6.9615 Å; angles 76.31, 76.31, 60.00 degrees
Fractional positions:
H 0.0000 0.0000 0.0000
Nb 0.7164 0.7164 0.8508
Nb 0.2836 0.2836 0.1492
Sn 0.5000 0.5000 0.5000

Results
**Crystal system**: trigonal
**Symmetry**: R-3m, No. 166



Material: Nb3SnH
Method: DFT, PBE-GGA
State: optimized geometry

Cell lengths 5.3067, 8.1052, 7.7701 Å; angles 90.00, 90.00, 90.00 degrees
Fractional positions:
H 0.9998 0.7500 0.0462
H 0.4998 0.7500 0.4538
H 0.5002 0.2500 0.5462
H 0.0002 0.2500 0.9538
Nb 0.7501 0.2500 0.7500
Nb 0.2501 0.2500 0.7500
Nb 0.2499 0.7500 0.2500
Nb 0.5000 0.5867 0.6451
Nb 0.0000 0.9133 0.8549
Nb 0.5000 0.9133 0.6451
Nb 0.5000 0.0867 0.3549
Nb 0.0000 0.4133 0.1451
Nb 0.0000 0.5867 0.8549
Nb 0.7499 0.7500 0.2500
Nb 0.0000 0.0867 0.1451
Nb 0.5000 0.4133 0.3549
Sn 0.0000 0.0000 0.5000
Sn 0.5000 0.5000 0.0000
Sn 0.5000 0.0000 0.0000
Sn 0.0000 0.5000 0.5000

Results
**Crystal system**: orthorhombic
**Symmetry**: Imma, No. 74



Material: Nb3SnH
Method: DFT, PBE-GGA
State: optimized geometry

Cell lengths 5.5257, 5.9035, 5.5743 Å; angles 81.15, 64.35, 97.76 degrees
Fractional positions:
Sn 0.4542 0.2775 0.5657
Sn 0.9495 0.7694 0.0683
Nb 0.4788 0.0233 0.0687
Nb 0.4578 0.7733 0.5726
Nb 0.9458 0.2736 0.0615
Nb 0.4477 0.5294 0.0461
Nb 0.9248 0.0236 0.5654
Nb 0.9559 0.5175 0.5879
H 0.2001 0.8339 0.4370
H 0.2035 0.2131 0.1971

Results
**Crystal system**: triclinic
**Symmetry**: P-1, No. 2



Material: TaNb2SnH
Method: DFT, PBE-GGA
State: optimized geometry

Cell lengths 4.2802, 4.2802, 4.2036 Å; angles 90.00, 90.00, 90.00 degrees
Fractional positions:
Nb 0.5000 0.0000 0.0000
Nb 0.0000 0.5000 0.0000
Sn 0.5000 0.5000 0.5000
Ta 0.0000 0.0000 0.5000
H 0.0000 0.0000 0.0000

Results
**Crystal system**: tetragonal
**Symmetry**: P4/mmm, No. 123



Material: Ta2NbSnH
Method: DFT, PBE-GGA
State: optimized geometry

Cell lengths 4.2263, 4.2263, 4.2988 Å; angles 90.00, 90.00, 90.00 degrees
Fractional positions:
Ta 0.5000 0.0000 0.0000
Ta 0.0000 0.5000 0.0000
H 0.0000 0.0000 0.0000
Sn 0.5000 0.5000 0.5000
Nb 0.0000 0.0000 0.5000

Results
**Crystal system**: tetragonal
**Symmetry**: P4/mmm, No. 123



Material: NbTc2SnH
Method: DFT, PBE-GGA
State: optimized geometry

Cell lengths 4.2078, 4.2078, 3.9170 Å; angles 90.00, 90.00, 90.00 degrees
Fractional positions:
Tc 0.0000 0.5000 0.0000
Tc 0.5000 0.0000 0.0000
Nb 0.0000 0.0000 0.5000
H 0.0000 0.0000 0.0000
Sn 0.5000 0.5000 0.5000

Results
**Crystal system**: tetragonal
**Symmetry**: P4/mmm, No. 123



Material: Nb2SnTeH
Method: DFT, PBE-GGA
State: optimized geometry

Cell lengths 4.2826, 4.8134, 4.2826 Å; angles 90.00, 90.00, 90.00 degrees
Fractional positions:
H 0.0000 0.0000 0.0000
Sn 0.5000 0.5000 0.5000
Nb 0.0000 0.0000 0.5000
Nb 0.5000 0.0000 0.0000
Te 0.0000 0.5000 0.0000

Results
**Crystal system**: tetragonal
**Symmetry**: P4/mmm, No. 123



Material: NbV2SnH
Method: DFT, PBE-GGA
State: optimized geometry

Cell lengths 4.0856, 4.0856, 4.0646 Å; angles 90.00, 90.00, 90.00 degrees
Fractional positions:
V 0.0000 0.5000 0.0000
V 0.5000 0.0000 0.0000
Sn 0.5000 0.5000 0.5000
H 0.0000 0.0000 0.0000
Nb 0.0000 0.0000 0.5000

Results
**Crystal system**: tetragonal
**Symmetry**: P4/mmm, No. 123



Material: Nb2SnHW
Method: DFT, PBE-GGA
State: optimized geometry

Cell lengths 4.2574, 4.2574, 4.1235 Å; angles 90.00, 90.00, 90.00 degrees
Fractional positions:
Nb 0.0000 0.5000 0.0000
Nb 0.5000 0.0000 0.0000
H 0.0000 0.0000 0.0000
W 0.0000 0.0000 0.5000
Sn 0.5000 0.5000 0.5000

Results
**Crystal system**: tetragonal
**Symmetry**: P4/mmm, No. 123



Material: Zr2NbSnH
Method: DFT, PBE-GGA
State: optimized geometry

Cell lengths 4.6438, 4.6438, 3.9712 Å; angles 90.00, 90.00, 90.00 degrees
Fractional positions:
H 0.0000 0.0000 0.0000
Zr 0.5000 0.0000 0.0000
Zr 0.0000 0.5000 0.0000
Nb 0.0000 0.0000 0.5000
Sn 0.5000 0.5000 0.5000

Results
**Crystal system**: tetragonal
**Symmetry**: P4/mmm, No. 123



Material: SrNbH
Method: DFT, PBE-GGA
State: optimized geometry

Cell lengths 6.1612, 3.1005, 12.4779 Å; angles 90.00, 90.00, 90.00 degrees
Fractional positions:
H 0.2275 0.7500 0.3417
H 0.7725 0.2500 0.6583
H 0.2725 0.2500 0.8417
H 0.7275 0.7500 0.1583
Sr 0.6318 0.7500 0.8408
Sr 0.8682 0.2500 0.3408
Sr 0.3682 0.2500 0.1592
Sr 0.1318 0.7500 0.6592
Nb 0.8610 0.2500 0.0594
Nb 0.1390 0.7500 0.9406
Nb 0.3610 0.2500 0.4406
Nb 0.6390 0.7500 0.5594

Results
**Crystal system**: orthorhombic
**Symmetry**: Pnma, No. 62



Material: SrNbH
Method: DFT, PBE-GGA
State: optimized geometry

Cell lengths 3.7716, 6.3321, 5.9846 Å; angles 115.06, 90.00, 107.34 degrees
Last column: magnetic moment on the atom in μB.
Fractional positions:
Sr 0.2374 0.1368 0.5149  0.00
Sr 0.4422 0.5455 0.2141  0.01
H 0.5081 0.6777 0.6765  0.00
H 0.8418 0.3451 0.8689  0.00
Nb 0.6720 0.0056 0.9484  -0.22
Nb 0.0039 0.6692 0.7844  0.32

Results
**Crystal system**: monoclinic
**Symmetry**: Cm, No. 8



Material: SrNbH
Method: DFT, PBE-GGA
State: optimized geometry

Cell lengths 6.9628, 6.1931, 6.9628 Å; angles 59.41, 150.96, 120.59 degrees
Fractional positions:
Nb 0.4995 0.8502 0.5678
Nb 0.1490 0.9111 0.9182
Sr 0.7222 0.5009 0.3451
Sr 0.9193 0.2522 0.1480
H 0.1270 0.5825 0.9403
H 0.2812 0.2760 0.7861

Results
**Crystal system**: monoclinic
**Symmetry**: Cm, No. 8



Material: Sr2NbH
Method: DFT, PBE-GGA
State: optimized geometry

Cell lengths 7.6492, 7.6492, 6.7326 Å; angles 55.38, 55.38, 90.00 degrees
Last column: magnetic moment on the atom in μB.
Fractional positions:
H 0.5000 0.5000 0.0000  0.01
H 0.2500 0.7500 0.5000  0.01
Sr 0.3750 0.4807 0.7500  0.09
Sr 0.5193 0.1250 0.2500  0.09
Sr 0.8750 0.7693 0.7500  0.08
Sr 0.2307 0.6250 0.2500  0.09
Nb 0.7500 0.2500 0.5000  2.71
Nb 0.0000 0.0000 0.0000  2.71

Results
**Crystal system**: tetragonal
**Symmetry**: I-42d, No. 122



Values of energy, in order: -7.713; -7.444; -4.578; -4.409; -4.642; -7.680; -6.896; -7.398; -7.689; -8.021; -8.321; -7.608; -5.708; -7.250; -8.069; -7.309; -4.695; -4.837; -4.866; -3.497, all in eV/atom.
Values of volume, in order: 156; 163; 77; 48; 53; 158; 63; 334; 158; 77; 77; 69; 88; 68; 75; 86; 238; 122; 124; 235, all in Å³/cell.